The following is a PBE-GGA calculation of crystalline CaReRh2 at its relaxed geometry, from the Alexandria database.

abc: 9.315 9.315 9.315
angles: 17.80 17.80 17.80
Sites, in units of the cell vectors:
Rh  0.006  0.006  0.006
Rh  0.494  0.494  0.494
Re  0.750  0.750  0.750
Ca  0.250  0.250  0.250

The calculation puts the formation energy at 1.03 eV per formula unit. The value obtained for the spin magnetization is 0.0 μB/cell. As for the crystal system: trigonal. The symmetry is R-3m. The calculation puts the uncorrected energy at -7.03 eV/atom.